# K2MnRu, optimized geometry, DFT PBE
data_K2MnRu
_chemical_formula_sum 'K2 Mn1 Ru1'
_cell_length_a 2.9167
_cell_length_b 5.8250
_cell_length_c 5.2258
_cell_angle_alpha 90.00
_cell_angle_beta 93.97
_cell_angle_gamma 90.00
_space_group_name_H-M_alt 'P 1 2/m 1'
_space_group_IT_number 10
loop_
_space_group_symop_operation_xyz
'x,y,z'
'-x,-y,-z'
'-x,y,-z'
'x,-y,z'
loop_
_atom_site_label
_atom_site_type_symbol
_atom_site_fract_x
_atom_site_fract_y
_atom_site_fract_z
K1 K 0.2412 0.0000 0.2468
Mn1 Mn 0.0000 0.5000 0.5000
Ru1 Ru 0.5000 0.5000 0.0000
# ΔE_f: 1.21 eV per atom
# VASP energy: -3.946 eV per atom
# Energy above the lowest structure with this stoichiometry: 560 meV per atom